# 1
## Pu8Si2H (PBE-GGA)

Data for a geometry-optimized Pu8Si2H structure.

```
Pu8Si2H
1.0
7.573 -2.495 0.000
7.573 2.495 0.000
-2.089 0.000 5.615
Pu Si H
8 2 1
Direct
0.004 0.004 0.263
0.202 0.202 0.192
0.368 0.368 0.105
0.386 0.386 0.612
0.614 0.614 0.388
0.632 0.632 0.895
0.798 0.798 0.808
0.996 0.996 0.737
0.190 0.190 0.681
0.810 0.810 0.319
0.500 0.500 0.000
```

DOS at the Fermi energy (states/eV/f.u.): 37.845
Total magnetization (Bohr magnetons per cell): 0.5
Calculated density (g cm⁻³): 15.7
Crystal system: monoclinic
Raw total energy (eV per atom): -11.829
Space group: C2/m (12)

# 2
## SmPuH4 (PBE-GGA)

Data for a geometry-optimized SmPuH4 structure.

```
SmPuH4
1.0
3.773 0.000 0.000
0.000 3.773 0.000
0.000 0.000 5.326
Sm Pu H
1 1 4
Direct
0.000 0.000 0.000
0.500 0.500 0.500
0.000 0.500 0.253
0.000 0.500 0.747
0.500 0.000 0.253
0.500 0.000 0.747
```

DOS at the Fermi energy (states/eV/f.u.): 6.504
Total magnetization (Bohr magnetons per cell): 5.5
Calculated density (g cm⁻³): 8.7
Crystal system: tetragonal
Raw total energy (eV per atom): -5.919
Space group: P4/mmm (123)

# 3
## Sm5Pu3H12 (PBE-GGA)

Data for a geometry-optimized Sm5Pu3H12 structure.

```
Sm5Pu3H12
1.0
-6.636 6.636 6.636
6.636 -6.636 6.636
6.636 6.636 -6.636
Sm Pu H
20 12 48
Direct
0.000 0.000 0.000
0.000 0.000 0.500
0.000 0.500 0.000
0.000 0.500 0.500
0.125 0.750 0.875
0.125 0.875 0.250
0.250 0.125 0.875
0.250 0.625 0.375
0.375 0.250 0.625
0.375 0.625 0.750
0.500 0.000 0.000
0.500 0.000 0.500
0.500 0.500 0.000
0.500 0.500 0.500
0.625 0.375 0.250
0.625 0.750 0.375
0.750 0.375 0.625
0.750 0.875 0.125
0.875 0.125 0.750
0.875 0.250 0.125
0.125 0.250 0.375
0.125 0.375 0.750
0.250 0.375 0.125
0.250 0.875 0.625
0.375 0.125 0.250
0.375 0.750 0.125
0.625 0.250 0.875
0.625 0.875 0.750
0.750 0.125 0.375
0.750 0.625 0.875
0.875 0.625 0.250
0.875 0.750 0.625
0.070 0.230 0.152
0.070 0.340 0.918
0.078 0.730 0.660
0.078 0.848 0.418
0.082 0.652 0.422
0.082 0.930 0.660
0.152 0.070 0.230
0.152 0.582 0.922
0.160 0.230 0.578
0.160 0.430 0.582
0.230 0.152 0.070
0.230 0.578 0.160
0.270 0.340 0.922
0.270 0.430 0.348
0.340 0.918 0.070
0.340 0.922 0.270
0.348 0.270 0.430
0.348 0.578 0.918
0.418 0.078 0.848
0.418 0.840 0.570
0.422 0.082 0.652
0.422 0.840 0.770
0.430 0.348 0.270
0.430 0.582 0.160
0.570 0.418 0.840
0.570 0.652 0.730
0.578 0.160 0.230
0.578 0.918 0.348
0.582 0.160 0.430
0.582 0.922 0.152
0.652 0.422 0.082
0.652 0.730 0.570
0.660 0.078 0.730
0.660 0.082 0.930
0.730 0.570 0.652
0.730 0.660 0.078
0.770 0.422 0.840
0.770 0.848 0.930
0.840 0.570 0.418
0.840 0.770 0.422
0.848 0.418 0.078
0.848 0.930 0.770
0.918 0.070 0.340
0.918 0.348 0.578
0.922 0.152 0.582
0.922 0.270 0.340
0.930 0.660 0.082
0.930 0.770 0.848
```

DOS at the Fermi energy (states/eV/f.u.): 28.870
Total magnetization (Bohr magnetons per cell): 74.9
Calculated density (g cm⁻³): 8.5
Crystal system: cubic
Raw total energy (eV per atom): -5.679
Space group: Ia-3d (230)

# 4
## Sm2PuH (PBE-GGA)

Data for a geometry-optimized Sm2PuH structure.

```
Sm2PuH
1.0
1.802 1.040 8.577
-1.802 1.040 8.577
0.000 -2.081 8.577
Sm Pu H
2 1 1
Direct
0.223 0.223 0.223
0.777 0.777 0.777
0.000 0.000 0.000
0.500 0.500 0.500
```

Energy above the most stable polymorph in this dataset (meV per atom): 0
DOS at the Fermi energy (states/eV/f.u.): 10.043
Total magnetization (Bohr magnetons per cell): 6.1
Calculated density (g cm⁻³): 9.4
Crystal system: trigonal
Raw total energy (eV per atom): -6.836
Space group: R-3m (166)

# 5
## SmPuH (PBE-GGA)

Data for a geometry-optimized SmPuH structure.

```
SmPuH
1.0
3.537 0.000 0.000
-1.768 3.063 0.000
0.000 0.000 5.781
Sm Pu H
1 1 1
Direct
0.000 0.000 0.000
0.333 0.667 0.491
0.667 0.333 0.250
```

DOS at the Fermi energy (states/eV/f.u.): 8.153
Total magnetization (Bohr magnetons per cell): 6.0
Calculated density (g cm⁻³): 10.5
Crystal system: trigonal
Raw total energy (eV per atom): -7.543
Space group: P3m1 (156)

# 6
## SmPu2H8 (PBE-GGA)

Data for a geometry-optimized SmPu2H8 structure.

```
SmPu2H8
1.0
-1.892 2.564 5.672
1.892 -2.564 5.672
1.892 2.564 -5.672
Sm Pu H
1 2 8
Direct
0.000 0.000 0.000
0.320 0.320 0.000
0.680 0.680 0.000
0.112 0.843 0.269
0.172 0.672 0.500
0.277 0.500 0.777
0.425 0.157 0.269
0.575 0.843 0.731
0.723 0.500 0.223
0.828 0.328 0.500
0.888 0.157 0.731
```

DOS at the Fermi energy (states/eV/f.u.): 13.654
Total magnetization (Bohr magnetons per cell): 10.8
Calculated density (g cm⁻³): 9.8
Crystal system: orthorhombic
Raw total energy (eV per atom): -5.948
Space group: Immm (71)

# 7
## Sm2PuH (PBE-GGA)

Data for a geometry-optimized Sm2PuH structure.

```
Sm2PuH
1.0
3.298 0.000 0.000
0.000 3.298 0.000
0.000 0.000 8.508
Sm Pu H
2 1 1
Direct
0.000 0.000 0.194
0.000 0.000 0.806
0.500 0.500 0.500
0.500 0.500 0.000
```

Energy above the most stable polymorph in this dataset (meV per atom): 223
DOS at the Fermi energy (states/eV/f.u.): 9.608
Total magnetization (Bohr magnetons per cell): 5.9
Calculated density (g cm⁻³): 9.8
Crystal system: tetragonal
Raw total energy (eV per atom): -6.613
Space group: P4/mmm (123)

# 8
## Sm3PuH (PBE-GGA)

Data for a geometry-optimized Sm3PuH structure.

```
Sm3PuH
1.0
5.030 0.000 0.000
0.000 5.030 0.000
0.000 0.000 5.030
Sm Pu H
3 1 1
Direct
0.000 0.000 0.500
0.000 0.500 0.000
0.500 0.000 0.000
0.500 0.500 0.500
0.000 0.000 0.000
```

DOS at the Fermi energy (states/eV/f.u.): 14.812
Total magnetization (Bohr magnetons per cell): 6.1
Calculated density (g cm⁻³): 9.1
Crystal system: cubic
Raw total energy (eV per atom): -6.438
Space group: Pm-3m (221)

# 9
## SmPuTe2H (PBE-GGA)

Data for a geometry-optimized SmPuTe2H structure.

```
SmPuTe2H
1.0
4.296 0.000 0.000
0.000 4.296 0.000
0.000 0.000 13.634
Sm Pu Te H
2 2 4 2
Direct
0.250 0.250 0.099
0.750 0.750 0.901
0.250 0.250 0.575
0.750 0.750 0.425
0.250 0.250 0.336
0.250 0.250 0.865
0.750 0.750 0.135
0.750 0.750 0.664
0.250 0.750 0.500
0.750 0.250 0.500
```

DOS at the Fermi energy (states/eV/f.u.): 10.664
Total magnetization (Bohr magnetons per cell): 10.7
Calculated density (g cm⁻³): 8.6
Crystal system: tetragonal
Raw total energy (eV per atom): -6.787
Space group: P4/nmm (129)

# 10
## Pu2SnH (PBE-GGA)

Data for a geometry-optimized Pu2SnH structure.

```
Pu2SnH
1.0
1.909 1.102 5.419
-1.909 1.102 5.419
0.000 -2.204 5.419
Pu Sn H
2 1 1
Direct
0.198 0.198 0.198
0.802 0.802 0.802
0.000 0.000 0.000
0.500 0.500 0.500
```

Energy above the most stable polymorph in this dataset (meV per atom): 272
DOS at the Fermi energy (states/eV/f.u.): 7.425
Total magnetization (Bohr magnetons per cell): 0.0
Calculated density (g cm⁻³): 14.8
Crystal system: trigonal
Raw total energy (eV per atom): -8.873
Space group: R-3m (166)

# 11
## Pu3SnH (PBE-GGA)

Data for a geometry-optimized Pu3SnH structure.

```
Pu3SnH
1.0
4.797 0.000 0.000
0.000 4.797 0.000
0.000 0.000 4.797
Pu Sn H
3 1 1
Direct
0.000 0.000 0.500
0.000 0.500 0.000
0.500 0.000 0.000
0.500 0.500 0.500
0.000 0.000 0.000
```

DOS at the Fermi energy (states/eV/f.u.): 16.333
Total magnetization (Bohr magnetons per cell): 18.4
Calculated density (g cm⁻³): 12.8
Crystal system: cubic
Raw total energy (eV per atom): -10.371
Space group: Pm-3m (221)

# 12
## Pu2SnH3 (PBE-GGA)

Data for a geometry-optimized Pu2SnH3 structure.

```
Pu2SnH3
1.0
6.010 -1.921 0.000
6.010 1.921 0.000
-5.211 0.000 7.945
Pu Sn H
4 2 6
Direct
0.077 0.077 0.332
0.344 0.344 0.949
0.656 0.656 0.051
0.923 0.923 0.668
0.362 0.362 0.357
0.638 0.638 0.643
0.103 0.103 0.122
0.137 0.137 0.909
0.448 0.448 0.807
0.552 0.552 0.193
0.863 0.863 0.091
0.897 0.897 0.878
```

DOS at the Fermi energy (states/eV/f.u.): 16.249
Total magnetization (Bohr magnetons per cell): 21.2
Calculated density (g cm⁻³): 11.0
Crystal system: monoclinic
Raw total energy (eV per atom): -7.468
Space group: C2/m (12)